Record 1
MnCd2MoO6 | PBE with a Hubbard U | optimized geometry

Cell: 4.165 5.641 5.641 Å, 90.00 90.00 90.00°
Sites, in units of the cell vectors:
O: 0.704 0.762 0.762
O: 0.164 0.500 0.500
Cd: 0.022 0.500 0.000
O: 0.704 0.238 0.762
O: 0.704 0.238 0.238
Mo: 0.605 0.000 0.000
Mn: 0.643 0.500 0.500
Cd: 0.022 0.000 0.500
O: 0.704 0.762 0.238
O: 0.173 0.000 0.000

Calculated values
- Electronic total energy: -5.805 eV/atom

***

Record 2
MnCdMoO6 | PBE with a Hubbard U | optimized geometry

Cell: 4.794 4.794 9.264 Å, 90.00 90.00 90.00°
Sites, in units of the cell vectors:
O: 0.172 0.828 0.500
O: 0.672 0.672 0.000
O: 0.328 0.328 0.000
Cd: 0.500 0.500 0.502
Mo: 0.500 0.500 0.173
Mn: 0.500 0.500 0.834
O: 0.214 0.786 0.189
Mn: 0.000 0.000 0.334
O: 0.286 0.286 0.689
Mo: 0.000 0.000 0.673
O: 0.783 0.217 0.807
O: 0.828 0.172 0.500
Cd: 0.000 0.000 0.002
O: 0.717 0.717 0.307
O: 0.786 0.214 0.189
O: 0.217 0.783 0.807
O: 0.283 0.283 0.307
O: 0.714 0.714 0.689

Calculated values
- Electronic total energy: -6.320 eV/atom